(1)
DFT (meta-GGA SCAN) results for TlCuOs at its PBEsol-relaxed geometry.

Total magnetic moment: 5.06 μB per cell
Energy: -623.35 eV for the cell shown
Calculated density: 13.33 g/cm³
Formation energy from the elements: 1200 meV per atom
Crystal system: cubic

abc: 6.1113 6.1113 6.1113
angles: 90.00 90.00 90.00
Closest atoms and distances in Å follow each position.
Positions (direct):
Tl (0.0000, 0.0000, 0.0000)  4 Os 2.65
Tl (0.0000, 0.5000, 0.5000)  4 Os 2.65
Tl (0.5000, 0.0000, 0.5000)  4 Os 2.65
Tl (0.5000, 0.5000, 0.0000)  4 Os 2.65
Cu (0.0000, 0.0000, 0.5000)  4 Os 2.65
Cu (0.0000, 0.5000, 0.0000)  4 Os 2.65
Cu (0.5000, 0.0000, 0.0000)  4 Os 2.65
Cu (0.5000, 0.5000, 0.5000)  4 Os 2.65
Os (0.2500, 0.2500, 0.2500)  4 Tl 2.65, 4 Cu 2.65
Os (0.2500, 0.7500, 0.7500)  4 Tl 2.65, 4 Cu 2.65
Os (0.7500, 0.2500, 0.7500)  4 Tl 2.65, 4 Cu 2.65
Os (0.7500, 0.7500, 0.2500)  4 Tl 2.65, 4 Cu 2.65


(2)
DFT (meta-GGA SCAN) results for YBe2Se at its PBEsol-relaxed geometry.

Total magnetic moment: 0.72 μB per cell
Energy: -57.28 eV for the cell shown
Calculated density: 4.81 g/cm³
ΔE_f (raw): -162.2 meV per atom
Crystal system: tetragonal

abc: 3.2879 3.2879 5.9354
angles: 90.00 90.00 90.00
Closest atoms and distances in Å follow each position.
Positions (direct):
Y (0.0000, 0.0000, 0.0000)  5 Be 2.79-3.02, 4 Se 2.93
Be (0.0000, 0.0000, 0.4700)  4 Be 2.48, 4 Se 2.69
Be (0.5000, 0.5000, 0.3247)  1 Se 2.22, 4 Be 2.48
Se (0.5000, 0.5000, 0.6984)  1 Be 2.22


(3)
DFT (meta-GGA SCAN) results for SbCCl4O2 at its PBEsol-relaxed geometry.

Total magnetic moment: 0.00 μB per cell
Energy: -395.99 eV for the cell shown
Calculated density: 2.48 g/cm³
ΔE_f (raw): -908.0 meV per atom
Crystal system: triclinic

abc: 6.9446 7.3600 16.3680
angles: 81.63 85.77 84.88
Closest atoms and distances in Å follow each position.
Positions (direct):
Sb (0.1596, 0.2376, 0.1257)  2 O 2.18, 4 Cl 2.31-2.35
Sb (0.2923, 0.2553, 0.6155)  2 O 2.18, 4 Cl 2.32-2.34
Sb (0.7077, 0.7447, 0.3845)  2 O 2.18, 4 Cl 2.32-2.34
Sb (0.8404, 0.7624, 0.8743)  2 O 2.18, 4 Cl 2.31-2.35
C (0.0575, 0.4493, 0.9669)  2 O 1.26
C (0.4132, 0.5727, 0.5001)  2 O 1.26
C (0.5868, 0.4273, 0.4999)  2 O 1.26
C (0.9425, 0.5507, 0.0331)  2 O 1.26
Cl (0.0189, 0.6989, 0.3258)  1 Sb 2.32
Cl (0.1066, 0.2263, 0.2676)  1 Sb 2.32
Cl (0.1143, 0.9144, 0.8893)  1 Sb 2.34
Cl (0.1890, 0.1623, 0.4962)  1 Sb 2.34
Cl (0.3754, 0.9842, 0.1116)  1 Sb 2.31
Cl (0.3919, 0.9589, 0.6734)  1 Sb 2.32
Cl (0.4021, 0.4438, 0.1169)  1 Sb 2.35
Cl (0.4359, 0.3959, 0.7128)  1 Sb 2.34
Cl (0.5641, 0.6041, 0.2872)  1 Sb 2.34
Cl (0.5979, 0.5562, 0.8831)  1 Sb 2.35
Cl (0.6081, 0.0411, 0.3266)  1 Sb 2.32
Cl (0.6246, 0.0158, 0.8884)  1 Sb 2.31
Cl (0.8110, 0.8377, 0.5038)  1 Sb 2.34
Cl (0.8857, 0.0856, 0.1107)  1 Sb 2.34
Cl (0.8934, 0.7737, 0.7324)  1 Sb 2.32
Cl (0.9811, 0.3011, 0.6742)  1 Sb 2.32
O (0.0366, 0.5136, 0.8921)  1 C 1.26
O (0.1660, 0.3081, 0.9917)  1 C 1.26
O (0.2653, 0.5312, 0.5463)  1 C 1.26
O (0.4295, 0.7245, 0.4541)  1 C 1.26
O (0.5705, 0.2755, 0.5459)  1 C 1.26
O (0.7347, 0.4688, 0.4537)  1 C 1.26
O (0.8340, 0.6919, 0.0083)  1 C 1.26
O (0.9634, 0.4864, 0.1079)  1 C 1.26


(4)
DFT (meta-GGA SCAN) results for Ir2Rh at its PBEsol-relaxed geometry.

Total magnetic moment: 0.00 μB per cell
Relative energy among the computed polymorphs: 90 meV/atom
Energy: -703.20 eV for the cell shown
Calculated density: 19.39 g/cm³
Formation energy from the elements: 57 meV per atom
Crystal system: monoclinic

abc: 9.9393 2.7127 6.4060
angles: 90.00 104.90 90.00
Closest atoms and distances in Å follow each position.
Positions (direct):
Ir (0.0288, 0.0000, 0.3054)  7 Ir 2.68-2.71, 5 Rh 2.69-2.70
Ir (0.1382, 0.5000, 0.0269)  3 Rh 2.67-2.72, 9 Ir 2.68-2.71
Ir (0.3618, 0.0000, 0.9731)  3 Rh 2.67-2.72, 9 Ir 2.68-2.71
Ir (0.4712, 0.5000, 0.6946)  7 Ir 2.68-2.71, 5 Rh 2.69-2.70
Ir (0.5288, 0.5000, 0.3054)  7 Ir 2.68-2.71, 5 Rh 2.69-2.70
Ir (0.6382, 0.0000, 0.0269)  3 Rh 2.67-2.72, 9 Ir 2.68-2.71
Ir (0.8618, 0.5000, 0.9731)  3 Rh 2.67-2.72, 9 Ir 2.68-2.71
Ir (0.9712, 0.0000, 0.6946)  7 Ir 2.68-2.71, 5 Rh 2.69-2.70
Rh (0.1926, 0.5000, 0.6393)  8 Ir 2.67-2.72, 4 Rh 2.71
Rh (0.3074, 0.0000, 0.3607)  8 Ir 2.67-2.72, 4 Rh 2.71
Rh (0.6926, 0.0000, 0.6393)  8 Ir 2.67-2.72, 4 Rh 2.71
Rh (0.8074, 0.5000, 0.3607)  8 Ir 2.67-2.72, 4 Rh 2.71


(5)
DFT (meta-GGA SCAN) results for TcRuRh2 at its PBEsol-relaxed geometry.

Total magnetic moment: 0.00 μB per cell
Relative energy among the computed polymorphs: 9 meV/atom
Energy: -275.01 eV for the cell shown
Calculated density: 12.46 g/cm³
Formation energy from the elements: -18 meV per atom
Crystal system: tetragonal

abc: 3.8034 3.8034 7.4581
angles: 90.00 90.00 90.00
Closest atoms and distances in Å follow each position.
Positions (direct):
Tc (0.0000, 0.0000, 0.0000)  4 Ru 2.66, 8 Rh 2.66-2.69
Tc (0.5000, 0.5000, 0.5000)  4 Ru 2.66, 8 Rh 2.66-2.69
Ru (0.0000, 0.5000, 0.2500)  4 Tc 2.66, 8 Rh 2.66-2.69
Ru (0.5000, 0.0000, 0.7500)  4 Tc 2.66, 8 Rh 2.66-2.69
Rh (0.0000, 0.0000, 0.5000)  4 Ru 2.66, 4 Rh 2.66, 4 Tc 2.69
Rh (0.0000, 0.5000, 0.7500)  4 Tc 2.66, 4 Rh 2.66, 4 Ru 2.69
Rh (0.5000, 0.0000, 0.2500)  4 Tc 2.66, 4 Rh 2.66, 4 Ru 2.69
Rh (0.5000, 0.5000, 0.0000)  4 Ru 2.66, 4 Rh 2.66, 4 Tc 2.69


(6)
DFT (meta-GGA SCAN) results for ScTlSeN2 at its PBEsol-relaxed geometry.

Total magnetic moment: 3.22 μB per cell
Energy: -123.94 eV for the cell shown
Calculated density: 6.25 g/cm³
ΔE_f (raw): 263.3 meV per atom
Crystal system: tetragonal

abc: 4.2106 4.2106 5.3431
angles: 90.00 90.00 90.00
Closest atoms and distances in Å follow each position.
Positions (direct):
Sc (0.0000, 0.0000, 0.0000)  4 N 2.11
Tl (0.5000, 0.5000, 0.5000)  4 Se 2.98
Se (0.0000, 0.0000, 0.5000)  2 Sc 2.67, 4 Tl 2.98
N (0.0000, 0.5000, 0.0000)  2 Sc 2.11
N (0.5000, 0.0000, 0.0000)  2 Sc 2.11


(7)
DFT (meta-GGA SCAN) results for Al3ReO at its PBEsol-relaxed geometry.

Total magnetic moment: 1.73 μB per cell
Energy: -96.74 eV for the cell shown
Calculated density: 4.45 g/cm³
ΔE_f (raw): 768.9 meV per atom
Crystal system: cubic

abc: 4.7290 4.7290 4.7290
angles: 90.00 90.00 90.00
Closest atoms and distances in Å follow each position.
Positions (direct):
Al (0.0000, 0.0000, 0.5000)  2 Re 2.36
Al (0.0000, 0.5000, 0.0000)  2 Re 2.36
Al (0.5000, 0.0000, 0.0000)  2 Re 2.36
Re (0.0000, 0.0000, 0.0000)  6 Al 2.36
O (0.5000, 0.5000, 0.5000)  12 Al 3.34


(8)
DFT (meta-GGA SCAN) results for SrBeCd at its PBEsol-relaxed geometry.

Total magnetic moment: 0.00 μB per cell
Energy: -218.66 eV for the cell shown
Calculated density: 3.77 g/cm³
Formation energy from the elements: 793 meV per atom
Crystal system: cubic

abc: 7.1692 7.1692 7.1692
angles: 90.00 90.00 90.00
Closest atoms and distances in Å follow each position.
Positions (direct):
Sr (0.0000, 0.0000, 0.0000)  4 Cd 3.10, 4 Be 3.10
Sr (0.0000, 0.5000, 0.5000)  4 Cd 3.10, 4 Be 3.10
Sr (0.5000, 0.0000, 0.5000)  4 Cd 3.10, 4 Be 3.10
Sr (0.5000, 0.5000, 0.0000)  4 Cd 3.10, 4 Be 3.10
Be (0.2500, 0.2500, 0.2500)  4 Sr 3.10
Be (0.2500, 0.7500, 0.7500)  4 Sr 3.10
Be (0.7500, 0.2500, 0.7500)  4 Sr 3.10
Be (0.7500, 0.7500, 0.2500)  4 Sr 3.10
Cd (0.2500, 0.2500, 0.7500)  4 Sr 3.10
Cd (0.2500, 0.7500, 0.2500)  4 Sr 3.10
Cd (0.7500, 0.2500, 0.2500)  4 Sr 3.10
Cd (0.7500, 0.7500, 0.7500)  4 Sr 3.10